DFT (PBE+U) results for crystalline NiGe2F8 at its relaxed geometry.

* SG: P-3m1
* DOS at the Fermi energy: 0.178 states/eV/atom
* magnetic moment: 0.14 μB/atom
* calculated total energy: -4.448 eV per atom

Cell: 4.1003 6.3854 6.3854 Å, 120.00 90.00 90.00°
Closest atoms and distances in Å follow each position.
Positions (direct):
Ni: 0.5000 0.0000 0.0000  6 F 2.05
Ge: 0.7404 0.6667 0.3333  5 F 1.91-2.06
Ge: 0.2596 0.3333 0.6667  5 F 1.91-2.06
F: 0.7574 0.3333 0.6667  2 Ge 2.04-2.06
F: 0.2426 0.6667 0.3333  2 Ge 2.04-2.06
F: 0.2538 0.1611 0.3222  1 Ge 1.91, 1 Ni 2.05
F: 0.7462 0.8389 0.6778  1 Ge 1.91, 1 Ni 2.05
F: 0.7462 0.3222 0.1611  1 Ge 1.91, 1 Ni 2.05
F: 0.2538 0.6778 0.8389  1 Ge 1.91, 1 Ni 2.05
F: 0.2538 0.1611 0.8389  1 Ge 1.91, 1 Ni 2.05
F: 0.7462 0.8389 0.1611  1 Ge 1.91, 1 Ni 2.05